1.
# MgGaNO2

A relaxed MgGaNO2 crystal (PBE-GGA, Alexandria).

Lattice parameters (Å, degrees): 3.826 3.826 4.236 90.00 90.00 90.00
Atoms (fractional coordinates):
Mg 0.000 0.000 0.000
Ga 0.500 0.500 0.500
N 0.000 0.000 0.500
O 0.000 0.500 0.000
O 0.500 0.000 0.000

Calculated values
- DOS at the Fermi energy (states/eV/atom) = 0.758
- total magnetization (μB per cell) = 2.8
- total DFT energy (no corrections) (eV for the cell shown) = -22.319
- formation energy without anion corrections (eV/atom) = 0.109



2.
# MgGaN2O

A relaxed MgGaN2O crystal (PBE-GGA, Alexandria).

Lattice parameters (Å, degrees): 3.883 3.883 3.940 90.00 90.00 90.00
Atoms (fractional coordinates):
Mg 0.000 0.000 0.000
Ga 0.500 0.500 0.500
N 0.000 0.500 0.500
N 0.500 0.000 0.500
O 0.500 0.500 0.000

Calculated values
- DOS at the Fermi energy (states/eV/atom) = 0.397
- total magnetization (μB per cell) = 2.5
- total DFT energy (no corrections) (eV for the cell shown) = -24.400
- formation energy without anion corrections (eV/atom) = 0.366



3.
# MgGaN2O

A relaxed MgGaN2O crystal (PBE-GGA, Alexandria).

Lattice parameters (Å, degrees): 4.148 4.148 3.827 90.00 90.00 90.00
Atoms (fractional coordinates):
Mg 0.000 0.000 0.000
Ga 0.500 0.500 0.500
N 0.000 0.500 0.000
N 0.500 0.000 0.000
O 0.000 0.000 0.500

Calculated values
- DOS at the Fermi energy (states/eV/atom) = 0.410
- total magnetization (μB per cell) = 4.0
- total DFT energy (no corrections) (eV for the cell shown) = -21.727
- formation energy without anion corrections (eV/atom) = 0.901



4.
# MgGaNO2

A relaxed MgGaNO2 crystal (PBE-GGA, Alexandria).

Lattice parameters (Å, degrees): 3.907 3.907 3.808 90.00 90.00 90.00
Atoms (fractional coordinates):
Mg 0.000 0.000 0.000
Ga 0.500 0.500 0.500
N 0.500 0.500 0.000
O 0.000 0.500 0.500
O 0.500 0.000 0.500

Calculated values
- DOS at the Fermi energy (states/eV/atom) = 0.338
- total magnetization (μB per cell) = 2.0
- total DFT energy (no corrections) (eV for the cell shown) = -25.268
- formation energy without anion corrections (eV/atom) = -0.481



The lowest total magnetization belongs to which entry?
number 4



Which of these has the highest DOS at the Fermi energy?
number 1